(1)
# BeHSe2

A geometry-optimized BeHSe2 structure (PBE, Alexandria via LeMat-Bulk).

POSCAR file:
```
BeHSe2
1.0
5.057 0.000 0.000
0.000 5.057 0.000
0.000 0.000 9.768
Be H Se
4 4 8
direct
0.000 0.000 0.000
0.000 0.500 0.250
0.500 0.000 0.750
0.500 0.500 0.500
0.000 0.000 0.500
0.000 0.500 0.750
0.500 0.000 0.250
0.500 0.500 0.000
0.232 0.250 0.625
0.250 0.732 0.875
0.250 0.768 0.375
0.268 0.250 0.125
0.732 0.750 0.125
0.750 0.232 0.375
0.750 0.268 0.875
0.768 0.750 0.625
```

N(E_F): 10.25 states/eV/cell
Calculated density: 4.5 Mg/m³
Calculated total energy: -3.468 eV/atom
Size of the total moment: 0.000 μB/atom
Energy relative to the lowest polymorph listed for this composition: 77.0 meV/atom



(2)
# BeH2Se

A geometry-optimized BeH2Se structure (PBE, Alexandria via LeMat-Bulk).

POSCAR file:
```
BeH2Se
1.0
5.192 0.000 0.000
0.000 5.192 0.000
0.000 0.000 5.192
Be H Se
4 8 4
direct
0.000 0.000 0.000
0.000 0.500 0.500
0.500 0.000 0.500
0.500 0.500 0.000
0.250 0.250 0.250
0.250 0.250 0.750
0.250 0.750 0.250
0.250 0.750 0.750
0.750 0.250 0.250
0.750 0.250 0.750
0.750 0.750 0.250
0.750 0.750 0.750
0.000 0.000 0.500
0.000 0.500 0.000
0.500 0.000 0.000
0.500 0.500 0.500
```

N(E_F): 3.47 states/eV/cell
Calculated density: 4.3 Mg/m³
Calculated total energy: -2.610 eV/atom
Size of the total moment: 0.000 μB/atom
Energy relative to the lowest polymorph listed for this composition: 888.3 meV/atom



(3)
# BeHSe2

A geometry-optimized BeHSe2 structure (PBE, Alexandria via LeMat-Bulk).

POSCAR file:
```
BeHSe2
1.0
3.429 0.000 0.000
-1.715 2.970 0.000
0.000 0.000 20.277
Be H Se
3 3 6
direct
0.000 0.000 0.000
0.333 0.667 0.667
0.667 0.333 0.333
0.000 0.000 0.500
0.333 0.667 0.167
0.667 0.333 0.833
0.000 0.000 0.101
0.000 0.000 0.899
0.333 0.667 0.566
0.333 0.667 0.767
0.667 0.333 0.233
0.667 0.333 0.434
```

N(E_F): 6.21 states/eV/cell
Calculated density: 4.1 Mg/m³
Calculated total energy: -2.874 eV/atom
Size of the total moment: 0.000 μB/atom
Energy relative to the lowest polymorph listed for this composition: 670.4 meV/atom



(4)
# BeHSe2

A geometry-optimized BeHSe2 structure (PBE, Alexandria via LeMat-Bulk).

POSCAR file:
```
BeHSe2
1.0
5.971 0.000 0.000
0.000 5.971 0.000
0.000 0.000 5.971
Be H Se
4 4 8
direct
0.000 0.000 0.000
0.000 0.500 0.500
0.500 0.000 0.500
0.500 0.500 0.000
0.000 0.000 0.500
0.000 0.500 0.000
0.500 0.000 0.000
0.500 0.500 0.500
0.250 0.250 0.250
0.250 0.250 0.750
0.250 0.750 0.250
0.250 0.750 0.750
0.750 0.250 0.250
0.750 0.250 0.750
0.750 0.750 0.250
0.750 0.750 0.750
```

N(E_F): 7.01 states/eV/cell
Calculated density: 5.2 Mg/m³
Calculated total energy: -2.819 eV/atom
Size of the total moment: 0.000 μB/atom
Energy relative to the lowest polymorph listed for this composition: 725.1 meV/atom



(5)
# BeHSe2

A geometry-optimized BeHSe2 structure (PBE, Alexandria via LeMat-Bulk).

POSCAR file:
```
BeHSe2
1.0
3.476 0.000 0.000
-1.738 3.010 0.000
0.000 0.000 18.589
Be H Se
3 3 6
direct
0.000 0.000 0.000
0.333 0.667 0.667
0.667 0.333 0.333
0.000 0.000 0.500
0.333 0.667 0.167
0.667 0.333 0.833
0.000 0.000 0.404
0.000 0.000 0.596
0.333 0.667 0.071
0.333 0.667 0.262
0.667 0.333 0.738
0.667 0.333 0.929
```

N(E_F): 6.94 states/eV/cell
Calculated density: 4.3 Mg/m³
Calculated total energy: -3.545 eV/atom
Size of the total moment: 0.000 μB/atom
Energy relative to the lowest polymorph listed for this composition: 0.0 meV/atom



(6)
# BeH2Se

A geometry-optimized BeH2Se structure (PBE, Alexandria via LeMat-Bulk).

POSCAR file:
```
BeH2Se
1.0
4.831 0.000 0.000
0.000 4.831 0.000
0.000 0.000 6.822
Be H Se
4 8 4
direct
0.000 0.250 0.375
0.000 0.750 0.625
0.500 0.250 0.125
0.500 0.750 0.875
0.000 0.000 0.500
0.000 0.500 0.500
0.250 0.250 0.250
0.250 0.750 0.750
0.500 0.000 0.000
0.500 0.500 0.000
0.750 0.250 0.250
0.750 0.750 0.750
0.000 0.250 0.875
0.000 0.750 0.125
0.500 0.250 0.625
0.500 0.750 0.375
```

N(E_F): 6.35 states/eV/cell
Calculated density: 3.8 Mg/m³
Calculated total energy: -3.068 eV/atom
Size of the total moment: 0.000 μB/atom
Energy relative to the lowest polymorph listed for this composition: 430.2 meV/atom



- calculated total energy of number 6 (BeH2Se)?
  -3.068 eV/atom